The following is a PBE-GGA calculation of an optimized crystal structure of In3NiPt, from Alexandria via LeMat-Bulk.

Structure (extended XYZ):
```
5
Lattice="5.135 0.000 0.000 0.000 5.135 0.000 0.000 0.000 5.135" Properties=species:S:1:pos:R:3 pbc="T T T"
Ni 2.568 2.568 2.568
Pt 0.000 0.000 0.000
In 0.000 2.568 0.000
In 0.000 0.000 2.568
In 2.568 0.000 0.000
```

E_form ... 0.35 eV/atom

The following is a PBE-GGA calculation of an optimized crystal structure of InNi2Pt, from Alexandria via LeMat-Bulk.

Structure (extended XYZ):
```
4
Lattice="-0.771 3.306 -7.829 -1.975 0.756 -8.267 -3.527 2.903 -7.207" Properties=species:S:1:pos:R:3 pbc="T T T"
In -4.705 5.223 -17.477
Ni -6.268 6.959 -23.285
Ni -3.141 3.487 -11.669
Pt -1.568 1.741 -5.826
```

E_form ... 0.11 eV/atom

The following is a PBE-GGA calculation of an optimized crystal structure of InNi2Pt, from Alexandria via LeMat-Bulk.

Structure (extended XYZ):
```
4
Lattice="4.522 -0.011 0.004 0.906 4.430 -0.004 -2.717 -2.206 2.863" Properties=species:S:1:pos:R:3 pbc="T T T"
Ni 5.428 4.419 0.000
Ni 2.714 2.210 0.000
Pt 2.260 -0.004 1.434
In 0.452 2.217 1.429
```

E_form ... -0.18 eV/atom

The following is a PBE-GGA calculation of an optimized crystal structure of InNi2Pt, from Alexandria via LeMat-Bulk.

Structure (extended XYZ):
```
4
Lattice="-2.880 -1.125 -2.752 1.960 -0.058 -2.027 1.885 -4.810 -0.007" Properties=species:S:1:pos:R:3 pbc="T T T"
In 1.600 -4.397 -2.991
Ni 2.249 -4.805 -0.390
Ni -0.834 -1.827 -1.494
Pt 1.756 -2.207 -0.936
```

E_form ... -0.08 eV/atom